# TaAsPd | Alexandria via LeMat-Bulk | PBE-GGA | optimized geometry
data_TaAsPd
_cell_length_a 3.6089
_cell_length_b 9.1524
_cell_length_c 7.1200
_cell_angle_alpha 102.17
_cell_angle_beta 104.68
_cell_angle_gamma 90.00
_space_group_name_H-M_alt 'P 1'
_space_group_IT_number 1
loop_
_space_group_symop_operation_xyz
'x,y,z'
loop_
_atom_site_label
_atom_site_type_symbol
_atom_site_fract_x
_atom_site_fract_y
_atom_site_fract_z
Pd1 Pd 0.0782 0.4165 0.1564
Pd2 Pd 0.4842 0.1982 0.9684
Pd3 Pd 0.5158 0.8018 0.0316
Pd4 Pd 0.9218 0.5835 0.8436
Ta1 Ta 0.2752 0.6317 0.5503
Ta2 Ta 0.7351 0.8723 0.4701
Ta3 Ta 0.7248 0.3683 0.4497
Ta4 Ta 0.2649 0.1277 0.5299
As1 As 0.3740 0.3887 0.7480
As2 As 0.6269 0.0748 0.2538
As3 As 0.6260 0.6113 0.2520
As4 As 0.3731 0.9252 0.7462
# Raw total energy   -7.4167 eV/atom
# Crystal system   monoclinic
# M_tot   0.00 μB/atom
# DFT formation energy   -0.18 eV per atom

---

# Nb6VRe2 | Alexandria via LeMat-Bulk | PBE-GGA | optimized geometry
data_Nb6VRe2
_cell_length_a 7.4882
_cell_length_b 7.4882
_cell_length_c 7.4882
_cell_angle_alpha 110.95
_cell_angle_beta 109.73
_cell_angle_gamma 107.75
_space_group_name_H-M_alt 'P 1'
_space_group_IT_number 1
loop_
_space_group_symop_operation_xyz
'x,y,z'
loop_
_atom_site_label
_atom_site_type_symbol
_atom_site_fract_x
_atom_site_fract_y
_atom_site_fract_z
Nb1 Nb 0.5253 0.7197 0.8056
Nb2 Nb 0.4747 0.2803 0.1944
Nb3 Nb 0.0860 0.2803 0.8056
Nb4 Nb 0.9140 0.7197 0.1944
Nb5 Nb 0.8094 0.7492 0.5587
Nb6 Nb 0.1906 0.2508 0.4413
Nb7 Nb 0.1906 0.7492 0.9398
Nb8 Nb 0.8094 0.2508 0.0602
Nb9 Nb 0.7402 0.4225 0.6823
Nb10 Nb 0.2598 0.5775 0.3177
Nb11 Nb 0.2598 0.9421 0.6823
Nb12 Nb 0.7402 0.0579 0.3177
V1 V 0.0000 0.5000 0.5000
V2 V 0.0000 0.0000 0.0000
Re1 Re 0.5000 0.3488 0.8488
Re2 Re 0.5000 0.6512 0.1512
Re3 Re 0.6485 0.0000 0.6485
Re4 Re 0.3515 0.0000 0.3515
# Raw total energy   -10.3032 eV/atom
# ΔE to the lowest computed polymorph   33.9 kJ/mol of atoms
# Crystal system   orthorhombic
# M_tot   0.00 μB/atom
# DFT formation energy   0.19 eV per atom

---

# GaGePt6 | Alexandria via LeMat-Bulk | PBE-GGA | optimized geometry
data_GaGePt6
_cell_length_a 4.9511
_cell_length_b 4.9512
_cell_length_c 6.2669
_cell_angle_alpha 112.24
_cell_angle_beta 98.19
_cell_angle_gamma 109.91
_space_group_name_H-M_alt 'P 1'
_space_group_IT_number 1
loop_
_space_group_symop_operation_xyz
'x,y,z'
loop_
_atom_site_label
_atom_site_type_symbol
_atom_site_fract_x
_atom_site_fract_y
_atom_site_fract_z
Ga1 Ga 0.5000 0.5000 0.0000
Ge1 Ge 0.0000 0.0000 0.0000
Pt1 Pt 0.6506 0.0961 0.2430
Pt2 Pt 0.8530 0.4076 0.7570
Pt3 Pt 0.2513 0.2461 0.4974
Pt4 Pt 0.1470 0.5924 0.2430
Pt5 Pt 0.3494 0.9039 0.7570
Pt6 Pt 0.7487 0.7539 0.5026
# Raw total energy   -5.7491 eV/atom
# ΔE to the lowest computed polymorph   13.8 kJ/mol of atoms
# Crystal system   monoclinic
# M_tot   0.00 μB/atom
# DFT formation energy   -0.26 eV per atom

---

# Cs2TlP2Se6 | Alexandria via LeMat-Bulk | PBE-GGA | optimized geometry
data_Cs2TlP2Se6
_cell_length_a 7.5614
_cell_length_b 7.7156
_cell_length_c 8.9217
_cell_angle_alpha 116.70
_cell_angle_beta 90.00
_cell_angle_gamma 119.34
_space_group_name_H-M_alt 'P 1'
_space_group_IT_number 1
loop_
_space_group_symop_operation_xyz
'x,y,z'
loop_
_atom_site_label
_atom_site_type_symbol
_atom_site_fract_x
_atom_site_fract_y
_atom_site_fract_z
Cs1 Cs 0.7260 0.4520 0.2394
Cs2 Cs 0.2740 0.5480 0.7606
Tl1 Tl 0.5000 0.0000 0.5000
P1 P 0.9693 0.9387 0.8527
P2 P 0.0307 0.0613 0.1473
Se1 Se 0.7789 0.5578 0.7093
Se2 Se 0.1973 0.9101 0.1845
Se3 Se 0.2872 0.0899 0.8155
Se4 Se 0.8027 0.0899 0.8155
Se5 Se 0.7128 0.9101 0.1845
Se6 Se 0.2211 0.4422 0.2907
# Raw total energy   -3.7674 eV/atom
# Crystal system   monoclinic
# M_tot   0.00 μB/atom
# Formation energy from raw total energies   -544 kJ/mol of formula units

---

# TbPr2OsO8 | Alexandria via LeMat-Bulk | PBE-GGA | optimized geometry
data_TbPr2OsO8
_cell_length_a 5.2033
_cell_length_b 5.2080
_cell_length_c 6.9651
_cell_angle_alpha 90.00
_cell_angle_beta 90.01
_cell_angle_gamma 90.48
_space_group_name_H-M_alt 'P 1'
_space_group_IT_number 1
loop_
_space_group_symop_operation_xyz
'x,y,z'
loop_
_atom_site_label
_atom_site_type_symbol
_atom_site_fract_x
_atom_site_fract_y
_atom_site_fract_z
Tb1 Tb 0.0000 0.0000 0.5000
Pr1 Pr 0.5005 0.5004 0.7501
Pr2 Pr 0.4995 0.4996 0.2499
Os1 Os 0.0000 0.0000 0.0000
O1 O 0.1759 0.8241 0.2079
O2 O 0.7462 0.7473 0.0004
O3 O 0.8246 0.1766 0.2078
O4 O 0.8241 0.1759 0.7921
O5 O 0.2538 0.2527 0.9996
O6 O 0.1754 0.8234 0.7922
O7 O 0.6979 0.6981 0.4997
O8 O 0.3021 0.3019 0.5003
# Raw total energy   -7.8353 eV/atom
# Crystal system   monoclinic
# M_tot   0.09 μB/atom
# Formation energy from raw total energies   -2792 kJ/mol of formula units

---

# ScCrRh2 | Alexandria via LeMat-Bulk | PBE-GGA | optimized geometry
data_ScCrRh2
_cell_length_a 4.5960
_cell_length_b 4.5960
_cell_length_c 4.9481
_cell_angle_alpha 77.03
_cell_angle_beta 77.03
_cell_angle_gamma 37.82
_space_group_name_H-M_alt 'P 1'
_space_group_IT_number 1
loop_
_space_group_symop_operation_xyz
'x,y,z'
loop_
_atom_site_label
_atom_site_type_symbol
_atom_site_fract_x
_atom_site_fract_y
_atom_site_fract_z
Cr1 Cr 0.2500 0.2500 0.2500
Rh1 Rh 0.9937 0.9937 0.0201
Rh2 Rh 0.5063 0.5063 0.4799
Sc1 Sc 0.7500 0.7500 0.7500
# Raw total energy   -7.8811 eV/atom
# Crystal system   monoclinic
# M_tot   0.78 μB/atom
# DFT formation energy   -0.22 eV per atom